[1]
{"formula": "InW2Se", "functional": "PBE", "state": "optimized geometry", "lattice": [[1.6260, -2.4107, 0.0000], [1.6260, 2.4107, 0.0000], [0.0000, 0.0000, 10.0485]], "species": ["In", "W", "W", "Se"], "fractional_positions": [[0.0000, 0.0000, 0.0000], [0.0000, 0.0000, 0.4603], [0.5000, 0.5000, 0.2528], [0.5000, 0.5000, 0.6674]], "e_form_raw_ev_per_atom": 0.419, "total_magnetization_mub_per_atom": 0.000, "relative_energy_mev_per_atom": 118, "spacegroup": "No. 35"}

---

[2]
{"formula": "Ac2As4Ir3Ru", "functional": "PBE", "state": "optimized geometry", "lattice": [[4.4108, 0.0000, 0.0000], [0.0000, 4.4108, 0.0000], [0.0000, 0.0000, 10.1155]], "species": ["Ac", "Ac", "As", "As", "As", "As", "Ir", "Ir", "Ir", "Ru"], "fractional_positions": [[0.0000, 0.5000, 0.2448], [0.5000, 0.0000, 0.7552], [0.0000, 0.0000, 0.0000], [0.0000, 0.5000, 0.6312], [0.5000, 0.0000, 0.3688], [0.5000, 0.5000, 0.0000], [0.0000, 0.5000, 0.8820], [0.5000, 0.0000, 0.1180], [0.5000, 0.5000, 0.5000], [0.0000, 0.0000, 0.5000]], "formation_enthalpy_0k_ev_per_atom": -0.76, "total_magnetization_mub_per_atom": 0.000, "spacegroup": "No. 115"}

---

> Which formula does entry 1 have?

InW2Se